(1)
# Tl2Sb2Ir

A relaxed structure of Tl2Sb2Ir (GGA-PBE, Alexandria via LeMat-Bulk).

```
Tl2Sb2Ir
1.0
6.7935 0.0000 0.0000
0.0000 6.7935 0.0000
0.0000 0.0000 6.0598
Sb Tl Ir
4 4 2
Cartesian
2.3864 5.7832 0.0000
5.7832 4.4071 0.0000
4.4071 1.0103 0.0000
1.0103 2.3864 0.0000
1.2388 4.6355 3.0299
4.6355 5.5547 3.0299
5.5547 2.1580 3.0299
2.1580 1.2388 3.0299
0.0000 0.0000 0.0000
3.3968 3.3968 0.0000
```

Calculated values
Formation energy without anion corrections   17.3 meV/atom
Space group   No. 127
Fermi-level density of states   4.5 states/eV per cell

=====

(2)
# Li2CrCu

A relaxed structure of Li2CrCu (GGA-PBE, Alexandria via LeMat-Bulk).

```
Li2CrCu
1.0
4.8662 -0.0116 0.0000
-2.0210 4.4267 0.0000
0.0000 0.0000 2.8040
Cr Cu Li
1 1 2
Cartesian
2.4331 -0.0058 1.4020
-1.0105 2.2133 1.4020
0.0000 0.0000 0.0000
1.4226 2.2075 0.0000
```

Calculated values
Space group   No. 65
Fermi-level density of states   1.8 states/eV per cell
DFT total energy   -4.008 eV/atom

=====

(3)
# LuSbSe2

A relaxed structure of LuSbSe2 (GGA-PBE, Alexandria via LeMat-Bulk).

```
LuSbSe2
1.0
-3.7684 -0.9850 0.4382
-2.0865 -1.1933 -3.0961
0.4290 -9.1099 0.7410
Sb Lu Se
1 1 2
Cartesian
0.0000 0.0000 0.0000
-2.7129 -5.6441 -0.9585
-0.3284 -6.4426 0.2234
-5.0975 -4.8456 -2.1403
```

Calculated values
Formation energy without anion corrections   -1019.7 meV/atom
Space group   No. 166
Fermi-level density of states   0.7 states/eV per cell

=====

(4)
# Y4SiBr5

A relaxed structure of Y4SiBr5 (GGA-PBE, Alexandria via LeMat-Bulk).

```
Y4SiBr5
1.0
-3.6610 -0.9701 -1.4380
-2.6349 -1.6249 7.8042
-0.1110 9.3162 -0.2959
Y Si Br
4 1 5
Cartesian
-3.7812 4.6760 6.4718
-5.8198 7.0678 4.3420
-2.6257 2.0452 -0.4015
-0.5870 -0.3466 1.7283
-1.8305 -0.4851 -0.7190
-4.8848 4.3049 3.8254
-3.5246 5.0373 -0.1314
-2.8822 1.6839 6.2017
-3.1479 -1.2975 3.1831
-1.5221 2.4163 2.2449
```

Calculated values
Formation energy without anion corrections   -1475.2 meV/atom
Space group   No. 12
Fermi-level density of states   3.5 states/eV per cell

=====

(5)
# AcAgSn4

A relaxed structure of AcAgSn4 (GGA-PBE, Alexandria via LeMat-Bulk).

```
AcAgSn4
1.0
-2.0884 0.3417 5.8879
0.2370 -5.0392 3.7007
4.0444 -0.1910 4.7698
Ac Sn Ag
1 4 1
Cartesian
0.5482 -1.2221 3.5896
-0.6594 -2.9621 6.5865
1.2528 -0.5271 7.1234
1.3718 -3.0580 8.9820
2.4207 -3.2296 6.0249
0.0000 0.0000 0.0000
```

Calculated values
Space group   No. 216
Fermi-level density of states   5.2 states/eV per cell
DFT total energy   -3.989 eV/atom